No. 1
First-principles (GGA-PBE) data for a relaxed CsTlGeBr4 crystal, as listed in the Alexandria database.

```
data_CsTlGeBr4
_space_group_name_H-M_alt 'I 4 m m'
_space_group_IT_number 107
_space_group_name_Hall 'I 4 -2'
_cell_length_a 5.5529
_cell_length_b 5.5529
_cell_length_c 17.4763
_cell_angle_alpha 90.00
_cell_angle_beta 90.00
_cell_angle_gamma 90.00
loop_
_atom_site_label
_atom_site_fract_x
_atom_site_fract_y
_atom_site_fract_z
Cs1 0.0000 0.0000 0.0000
Tl1 0.0000 0.0000 0.7147
Ge1 0.0000 0.0000 0.3528
Br1 0.0000 0.0000 0.2024
Br2 0.0000 0.0000 0.5329
Br3 0.0000 0.5000 0.3530
```

Properties
Magnetic moment = 0.00 μB per atom
Raw total energy = -3.081 eV per atom
Formation energy from raw total energies = -1.0051 eV per atom
Volume = 38.492 Å³ per atom

***

No. 2
First-principles (GGA-PBE) data for a relaxed CsDy4Se6 crystal, as listed in the Alexandria database.

```
data_CsDy4Se6
_space_group_name_H-M_alt 'C m c m'
_space_group_IT_number 63
_space_group_name_Hall '-C 2c 2'
_cell_length_a 4.1602
_cell_length_b 13.8489
_cell_length_c 22.1467
_cell_angle_alpha 90.00
_cell_angle_beta 90.00
_cell_angle_gamma 90.00
loop_
_atom_site_label
_atom_site_fract_x
_atom_site_fract_y
_atom_site_fract_z
Cs1 0.0000 0.1565 0.2500
Dy1 0.0000 0.0979 0.6307
Dy2 0.0000 0.3682 0.5389
Se1 0.0000 0.0000 0.0000
Se2 0.0000 0.1418 0.7500
Se3 0.0000 0.2699 0.0796
Se4 0.0000 0.4651 0.6474
```

Properties
Magnetic moment = 0.00 μB per atom
Raw total energy = -5.411 eV per atom
Formation energy from raw total energies = -1.7591 eV per atom
Volume = 28.999 Å³ per atom

***

No. 3
First-principles (GGA-PBE) data for a relaxed BaErCd2Au4 crystal, as listed in the Alexandria database.

```
data_BaErCd2Au4
_space_group_name_H-M_alt 'R -3 m'
_space_group_IT_number 166
_space_group_name_Hall '-R 3 2"'
_cell_length_a 4.8681
_cell_length_b 4.8681
_cell_length_c 28.7371
_cell_angle_alpha 90.00
_cell_angle_beta 90.00
_cell_angle_gamma 120.00
loop_
_atom_site_label
_atom_site_fract_x
_atom_site_fract_y
_atom_site_fract_z
Ba1 0.0000 0.0000 0.0000
Er1 0.0000 0.0000 0.5000
Cd1 0.0000 0.0000 0.2382
Au1 0.0000 0.0000 0.1280
Au2 0.0000 0.0000 0.3998
```

Properties
Magnetic moment = 0.00 μB per atom
Raw total energy = -3.258 eV per atom
Energy of formation from the pure elements = -0.58 eV per atom
Volume = 24.574 Å³ per atom

***

No. 4
First-principles (GGA-PBE) data for a relaxed Rb2LiSbW crystal, as listed in the Alexandria database.

```
data_Rb2LiSbW
_space_group_name_H-M_alt 'P 4/m m m'
_space_group_IT_number 123
_space_group_name_Hall '-P 4 2'
_cell_length_a 7.0933
_cell_length_b 7.0933
_cell_length_c 5.2177
_cell_angle_alpha 90.00
_cell_angle_beta 90.00
_cell_angle_gamma 90.00
loop_
_atom_site_label
_atom_site_fract_x
_atom_site_fract_y
_atom_site_fract_z
Rb1 0.0000 0.5000 0.0000
Li1 0.0000 0.0000 0.5000
Sb1 0.5000 0.5000 0.5000
W1 0.5000 0.5000 0.0000
```

Properties
Magnetic moment = 0.70 μB per atom
Raw total energy = -3.250 eV per atom
Formation energy from raw total energies = 0.9347 eV per atom
Volume = 52.506 Å³ per atom

***

No. 5
First-principles (GGA-PBE) data for a relaxed Ho6ErTh2 crystal, as listed in the Alexandria database.

```
data_Ho6ErTh2
_space_group_name_H-M_alt 'C 1 2/c 1'
_space_group_IT_number 15
_cell_length_a 14.5113
_cell_length_b 12.3237
_cell_length_c 6.7593
_cell_angle_alpha 90.00
_cell_angle_beta 108.00
_cell_angle_gamma 90.00
loop_
_space_group_symop_operation_xyz
'x,y,z'
'-x,-y,-z'
'-x,y,-z+1/2'
'x,-y,z+1/2'
'x+1/2,y+1/2,z'
'-x+1/2,-y+1/2,-z'
'-x+1/2,y+1/2,-z+1/2'
'x+1/2,-y+1/2,z+1/2'
loop_
_atom_site_label
_atom_site_fract_x
_atom_site_fract_y
_atom_site_fract_z
Ho1 0.0138 0.1429 0.0171
Ho2 0.1106 0.4016 0.2747
Ho3 0.2164 0.2721 0.7353
Er1 0.0000 0.3661 0.7500
Th1 0.1900 0.0074 0.8971
```

Properties
Magnetic moment = 0.00 μB per atom
Raw total energy = -5.019 eV per atom
Energy of formation from the pure elements = 0.19 eV per atom
Volume = 31.934 Å³ per atom

***

No. 6
First-principles (GGA-PBE) data for a relaxed Ba2InSnSe6 crystal, as listed in the Alexandria database.

```
data_Ba2InSnSe6
_space_group_name_H-M_alt 'P 1 21/c 1'
_space_group_IT_number 14
_cell_length_a 7.4746
_cell_length_b 7.5622
_cell_length_c 12.5038
_cell_angle_alpha 90.00
_cell_angle_beta 122.48
_cell_angle_gamma 90.00
loop_
_space_group_symop_operation_xyz
'x,y,z'
'-x,-y,-z'
'-x,y+1/2,-z+1/2'
'x,-y+1/2,z+1/2'
loop_
_atom_site_label
_atom_site_fract_x
_atom_site_fract_y
_atom_site_fract_z
Ba1 0.2209 0.0972 0.2424
In1 0.0000 0.0000 0.5000
Sn1 0.5000 0.0000 0.0000
Se1 0.1546 0.1849 0.9515
Se2 0.2770 0.6855 0.9650
Se3 0.3250 0.5734 0.2472
```

Properties
Magnetic moment = 0.00 μB per atom
Raw total energy = -4.097 eV per atom
Formation energy from raw total energies = -0.9481 eV per atom
Volume = 29.811 Å³ per atom

***

No. 7
First-principles (GGA-PBE) data for a relaxed LiGd2In crystal, as listed in the Alexandria database.

```
data_LiGd2In
_space_group_name_H-M_alt 'F m -3 m'
_space_group_IT_number 225
_space_group_name_Hall '-F 4 2 3'
_cell_length_a 7.5071
_cell_length_b 7.5071
_cell_length_c 7.5071
_cell_angle_alpha 90.00
_cell_angle_beta 90.00
_cell_angle_gamma 90.00
loop_
_atom_site_label
_atom_site_fract_x
_atom_site_fract_y
_atom_site_fract_z
Li1 0.0000 0.0000 0.0000
Gd1 0.2500 0.2500 0.2500
In1 0.0000 0.0000 0.5000
```

Properties
Magnetic moment = 3.78 μB per atom
Raw total energy = -8.492 eV per atom
Energy of formation from the pure elements = -0.29 eV per atom
Volume = 26.442 Å³ per atom

***

No. 8
First-principles (GGA-PBE) data for a relaxed Sm2InHg2 crystal, as listed in the Alexandria database.

```
data_Sm2InHg2
_space_group_name_H-M_alt 'P 4/m b m'
_space_group_IT_number 127
_space_group_name_Hall '-P 4 2ab'
_cell_length_a 8.1928
_cell_length_b 8.1928
_cell_length_c 4.0578
_cell_angle_alpha 90.00
_cell_angle_beta 90.00
_cell_angle_gamma 90.00
loop_
_atom_site_label
_atom_site_fract_x
_atom_site_fract_y
_atom_site_fract_z
Sm1 0.1716 0.3284 0.0000
In1 0.0000 0.0000 0.5000
Hg1 0.1286 0.6286 0.5000
```

Properties
Magnetic moment = 0.00 μB per atom
Raw total energy = -3.006 eV per atom
Energy of formation from the pure elements = -0.45 eV per atom
Volume = 27.237 Å³ per atom

***

No. 9
First-principles (GGA-PBE) data for a relaxed SrPN2O crystal, as listed in the Alexandria database.

```
data_SrPN2O
_space_group_name_H-M_alt 'P 4/m m m'
_space_group_IT_number 123
_space_group_name_Hall '-P 4 2'
_cell_length_a 3.5044
_cell_length_b 3.5044
_cell_length_c 4.2393
_cell_angle_alpha 90.00
_cell_angle_beta 90.00
_cell_angle_gamma 90.00
loop_
_atom_site_label
_atom_site_fract_x
_atom_site_fract_y
_atom_site_fract_z
Sr1 0.0000 0.0000 0.0000
P1 0.5000 0.5000 0.5000
N1 0.0000 0.5000 0.5000
O1 0.5000 0.5000 0.0000
```

Properties
Magnetic moment = 0.10 μB per atom
Raw total energy = -6.303 eV per atom
Formation energy from raw total energies = -0.5628 eV per atom
Volume = 10.412 Å³ per atom

***

No. 10
First-principles (GGA-PBE) data for a relaxed SiNi2Hg2 crystal, as listed in the Alexandria database.

```
data_SiNi2Hg2
_space_group_name_H-M_alt 'P 4/m b m'
_space_group_IT_number 127
_space_group_name_Hall '-P 4 2ab'
_cell_length_a 6.0877
_cell_length_b 6.0877
_cell_length_c 4.3084
_cell_angle_alpha 90.00
_cell_angle_beta 90.00
_cell_angle_gamma 90.00
loop_
_atom_site_label
_atom_site_fract_x
_atom_site_fract_y
_atom_site_fract_z
Si1 0.0000 0.0000 0.0000
Ni1 0.1523 0.3477 0.0000
Hg1 0.1658 0.6658 0.5000
```

Properties
Magnetic moment = 0.00 μB per atom
Raw total energy = -3.436 eV per atom
Formation energy from raw total energies = 0.0815 eV per atom
Volume = 15.967 Å³ per atom

***

No. 11
First-principles (GGA-PBE) data for a relaxed LiCeDyAg crystal, as listed in the Alexandria database.

```
data_LiCeDyAg
_space_group_name_H-M_alt 'F -4 3 m'
_space_group_IT_number 216
_space_group_name_Hall 'F -4 2 3'
_cell_length_a 7.3905
_cell_length_b 7.3905
_cell_length_c 7.3905
_cell_angle_alpha 90.00
_cell_angle_beta 90.00
_cell_angle_gamma 90.00
loop_
_atom_site_label
_atom_site_fract_x
_atom_site_fract_y
_atom_site_fract_z
Li1 0.0000 0.0000 0.0000
Ce1 0.2500 0.2500 0.2500
Dy1 0.2500 0.2500 0.7500
Ag1 0.0000 0.0000 0.5000
```

Properties
Magnetic moment = 0.31 μB per atom
Raw total energy = -3.785 eV per atom
Energy of formation from the pure elements = 0.04 eV per atom
Volume = 25.229 Å³ per atom

***

No. 12
First-principles (GGA-PBE) data for a relaxed KTaZn2 crystal, as listed in the Alexandria database.

```
data_KTaZn2
_space_group_name_H-M_alt 'F -4 3 m'
_space_group_IT_number 216
_space_group_name_Hall 'F -4 2 3'
_cell_length_a 6.9026
_cell_length_b 6.9026
_cell_length_c 6.9026
_cell_angle_alpha 90.00
_cell_angle_beta 90.00
_cell_angle_gamma 90.00
loop_
_atom_site_label
_atom_site_fract_x
_atom_site_fract_y
_atom_site_fract_z
K1 0.0000 0.0000 0.0000
Ta1 0.2500 0.2500 0.7500
Zn1 0.0000 0.0000 0.5000
Zn2 0.2500 0.2500 0.2500
```

Properties
Magnetic moment = 0.52 μB per atom
Raw total energy = -2.655 eV per atom
Energy of formation from the pure elements = 1.22 eV per atom
Volume = 20.555 Å³ per atom

***

Question: The highest magnetic moment belongs to which entry?
Answer: LiGd2In